ErSnOsO6, optimized geometry, DFT PBE; formation energy from raw total energies = -1.79 eV per atom
1.0
5.365 0.000 0.000
-2.683 4.646 0.000
0.000 0.000 9.017
Er Sn Os O
2 2 2 12
direct
0.333 0.667 0.250
0.667 0.333 0.750
0.000 0.000 0.000
0.000 0.000 0.500
0.667 0.333 0.250
0.333 0.667 0.750
0.682 0.648 0.126
0.966 0.318 0.126
0.318 0.966 0.626
0.034 0.682 0.874
0.352 0.318 0.374
0.966 0.648 0.374
0.648 0.966 0.874
0.682 0.034 0.374
0.034 0.352 0.626
0.352 0.034 0.126
0.648 0.682 0.626
0.318 0.352 0.874